Record 1
Ba5Sr3: optimized geometry, PBE.

Unit cell a=11.862 b=11.862 c=11.862 alpha=96.22 beta=96.22 gamma=141.58
Atoms (fractional coordinates):
Ba1 0.073 0.771 0.844
Ba2 0.229 0.073 0.302
Ba3 0.250 0.750 0.500
Ba4 0.271 0.573 0.844
Ba5 0.427 0.271 0.698
Ba6 0.573 0.729 0.302
Ba7 0.729 0.427 0.156
Ba8 0.750 0.250 0.500
Ba9 0.771 0.927 0.698
Ba10 0.927 0.229 0.156
Sr1 0.177 0.323 0.500
Sr2 0.250 0.250 0.000
Sr3 0.323 0.823 0.146
Sr4 0.677 0.177 0.854
Sr5 0.750 0.750 0.000
Sr6 0.823 0.677 0.500

Summary:
The value obtained for the energy above the lowest structure with this stoichiometry is 70 meV per atom.

Record 2
Ba2Sr: optimized geometry, PBE.

Unit cell a=4.279 b=7.465 c=22.659 alpha=90.00 beta=90.00 gamma=90.00
Atoms (fractional coordinates):
Ba1 0.000 0.250 0.015
Ba2 0.000 0.250 0.836
Ba3 0.000 0.750 0.164
Ba4 0.000 0.750 0.985
Ba5 0.500 0.250 0.485
Ba6 0.500 0.250 0.664
Ba7 0.500 0.750 0.336
Ba8 0.500 0.750 0.515
Sr1 0.000 0.250 0.326
Sr2 0.000 0.750 0.674
Sr3 0.500 0.250 0.174
Sr4 0.500 0.750 0.826

Summary:
The value obtained for the energy above the lowest structure with this stoichiometry is 140 meV per atom.

Record 3
BaSr4: optimized geometry, PBE.

Unit cell a=7.832 b=10.889 c=7.630 alpha=90.00 beta=117.20 gamma=90.00
Atoms (fractional coordinates):
Ba1 0.000 0.139 0.250
Ba2 0.000 0.861 0.750
Sr1 0.251 0.467 0.511
Sr2 0.251 0.533 0.011
Sr3 0.347 0.177 0.928
Sr4 0.347 0.823 0.428
Sr5 0.653 0.177 0.572
Sr6 0.653 0.823 0.072
Sr7 0.749 0.467 0.989
Sr8 0.749 0.533 0.489

Summary:
The value obtained for the energy above the lowest structure with this stoichiometry is 86 meV per atom.

Record 4
BaSr3: optimized geometry, PBE.

Unit cell a=4.158 b=6.811 c=7.972 alpha=90.00 beta=99.81 gamma=90.00
Atoms (fractional coordinates):
Ba1 0.000 0.000 0.000
Sr1 0.252 0.500 0.748
Sr2 0.500 0.000 0.500
Sr3 0.748 0.500 0.252

Summary:
The value obtained for the energy above the lowest structure with this stoichiometry is 1 meV per atom.

Record 5
Ba5Sr3: optimized geometry, PBE.

Unit cell a=9.829 b=13.904 c=6.963 alpha=90.00 beta=90.00 gamma=90.00
Atoms (fractional coordinates):
Ba1 0.000 0.000 0.000
Ba2 0.249 0.500 0.500
Ba3 0.250 0.250 0.000
Ba4 0.250 0.750 0.000
Ba5 0.251 0.000 0.500
Ba6 0.500 0.500 0.000
Ba7 0.749 0.000 0.500
Ba8 0.750 0.250 0.000
Ba9 0.750 0.750 0.000
Ba10 0.751 0.500 0.500
Sr1 0.000 0.249 0.500
Sr2 0.000 0.500 0.000
Sr3 0.000 0.751 0.500
Sr4 0.500 0.000 0.000
Sr5 0.500 0.251 0.500
Sr6 0.500 0.749 0.500

Summary:
The value obtained for the energy above the lowest structure with this stoichiometry is 2 meV per atom.

Record 6
Ba3Sr: optimized geometry, PBE.

Unit cell a=4.950 b=7.010 c=13.999 alpha=90.00 beta=90.00 gamma=90.00
Atoms (fractional coordinates):
Ba1 0.000 0.000 0.000
Ba2 0.000 0.500 0.248
Ba3 0.000 0.500 0.752
Ba4 0.500 0.000 0.252
Ba5 0.500 0.000 0.748
Ba6 0.500 0.500 0.500
Sr1 0.000 0.000 0.500
Sr2 0.500 0.500 0.000

Summary:
The value obtained for the energy above the lowest structure with this stoichiometry is 2 meV per atom.

Record 7
Ba7Sr: optimized geometry, PBE.

Unit cell a=8.942 b=8.942 c=8.942 alpha=60.00 beta=60.00 gamma=60.00
Atoms (fractional coordinates):
Ba1 0.000 0.000 0.000
Ba2 0.000 0.000 0.500
Ba3 0.000 0.500 0.000
Ba4 0.000 0.500 0.500
Ba5 0.500 0.000 0.000
Ba6 0.500 0.000 0.500
Ba7 0.500 0.500 0.000
Sr1 0.500 0.500 0.500

Record 8
BaSr4: optimized geometry, PBE.

Unit cell a=6.737 b=6.737 c=6.737 alpha=90.00 beta=90.00 gamma=90.00
Atoms (fractional coordinates):
Ba1 0.000 0.000 0.000
Sr1 0.000 0.000 0.500
Sr2 0.000 0.500 0.000
Sr3 0.500 0.000 0.000
Sr4 0.500 0.500 0.500

Summary:
The value obtained for the energy above the lowest structure with this stoichiometry is 549 meV per atom.

Record 9
Ba2Sr: optimized geometry, PBE.

Unit cell a=8.126 b=8.126 c=8.126 alpha=60.00 beta=60.00 gamma=60.00
Atoms (fractional coordinates):
Ba1 0.000 0.000 0.000
Ba2 0.000 0.000 0.500
Ba3 0.000 0.500 0.000
Ba4 0.500 0.000 0.000
Sr1 0.375 0.375 0.375
Sr2 0.625 0.625 0.625

Summary:
The value obtained for the energy above the lowest structure with this stoichiometry is 117 meV per atom.

Record 10
Ba2Sr: optimized geometry, PBE.

Unit cell a=9.722 b=9.722 c=9.722 alpha=90.00 beta=90.00 gamma=90.00
Atoms (fractional coordinates):
Ba1 0.250 0.250 0.250
Ba2 0.250 0.250 0.750
Ba3 0.250 0.750 0.250
Ba4 0.250 0.750 0.750
Ba5 0.750 0.250 0.250
Ba6 0.750 0.250 0.750
Ba7 0.750 0.750 0.250
Ba8 0.750 0.750 0.750
Sr1 0.000 0.000 0.000
Sr2 0.000 0.500 0.500
Sr3 0.500 0.000 0.500
Sr4 0.500 0.500 0.000

Summary:
The value obtained for the energy above the lowest structure with this stoichiometry is 401 meV per atom.

Record 11
BaSr3: optimized geometry, PBE.

Unit cell a=9.600 b=13.641 c=6.808 alpha=90.00 beta=90.00 gamma=90.00
Atoms (fractional coordinates):
Ba1 0.000 0.128 0.250
Ba2 0.000 0.872 0.750
Ba3 0.500 0.372 0.750
Ba4 0.500 0.628 0.250
Sr1 0.000 0.373 0.750
Sr2 0.000 0.627 0.250
Sr3 0.248 0.377 0.250
Sr4 0.248 0.623 0.750
Sr5 0.252 0.123 0.750
Sr6 0.252 0.877 0.250
Sr7 0.500 0.127 0.250
Sr8 0.500 0.873 0.750
Sr9 0.748 0.123 0.750
Sr10 0.748 0.877 0.250
Sr11 0.752 0.377 0.250
Sr12 0.752 0.623 0.750

Summary:
The value obtained for the energy above the lowest structure with this stoichiometry is 3 meV per atom.

Record 12
Ba4Sr5: optimized geometry, PBE.

Unit cell a=12.106 b=12.106 c=8.253 alpha=90.00 beta=90.00 gamma=120.00
Atoms (fractional coordinates):
Ba1 0.000 0.000 0.000
Ba2 0.000 0.000 0.500
Ba3 0.000 0.328 0.250
Ba4 0.000 0.672 0.750
Ba5 0.328 0.000 0.250
Ba6 0.328 0.328 0.750
Ba7 0.672 0.000 0.750
Ba8 0.672 0.672 0.250
Sr1 0.000 0.341 0.750
Sr2 0.000 0.659 0.250
Sr3 0.333 0.667 0.000
Sr4 0.333 0.667 0.500
Sr5 0.341 0.000 0.750
Sr6 0.341 0.341 0.250
Sr7 0.659 0.000 0.250
Sr8 0.659 0.659 0.750
Sr9 0.667 0.333 0.000
Sr10 0.667 0.333 0.500

Summary:
The value obtained for the energy above the lowest structure with this stoichiometry is 40 meV per atom.

Record 13
BaSr3: optimized geometry, PBE.

Unit cell a=4.299 b=4.299 c=14.159 alpha=90.00 beta=90.00 gamma=120.00
Atoms (fractional coordinates):
Ba1 0.000 0.000 0.000
Sr1 0.000 0.000 0.500
Sr2 0.667 0.333 0.254
Sr3 0.667 0.333 0.746

Summary:
The value obtained for the energy above the lowest structure with this stoichiometry is 11 meV per atom.

Record 14
Ba2Sr: optimized geometry, PBE.

Unit cell a=6.967 b=6.967 c=4.259 alpha=90.00 beta=90.00 gamma=120.00
Atoms (fractional coordinates):
Ba1 0.333 0.667 0.167
Ba2 0.667 0.333 0.833
Sr1 0.000 0.000 0.500

Summary:
The value obtained for the energy above the lowest structure with this stoichiometry is 0 meV per atom.

Record 15
Ba5Sr4: optimized geometry, PBE.

Unit cell a=9.801 b=9.801 c=9.801 alpha=95.81 beta=95.81 gamma=142.91
Atoms (fractional coordinates):
Ba1 0.000 0.000 0.000
Ba2 0.000 0.330 0.330
Ba3 0.000 0.670 0.670
Ba4 0.330 0.000 0.330
Ba5 0.670 0.000 0.670
Sr1 0.334 0.334 0.667
Sr2 0.334 0.666 0.000
Sr3 0.666 0.334 0.000
Sr4 0.666 0.666 0.333

Summary:
The value obtained for the energy above the lowest structure with this stoichiometry is 8 meV per atom.

Record 16
Ba3Sr: optimized geometry, PBE.

Unit cell a=8.827 b=8.827 c=7.282 alpha=90.00 beta=90.00 gamma=120.00
Atoms (fractional coordinates):
Ba1 0.167 0.333 0.250
Ba2 0.167 0.833 0.250
Ba3 0.333 0.167 0.750
Ba4 0.667 0.833 0.250
Ba5 0.833 0.167 0.750
Ba6 0.833 0.667 0.750
Sr1 0.333 0.667 0.750
Sr2 0.667 0.333 0.250

Summary:
The value obtained for the energy above the lowest structure with this stoichiometry is 15 meV per atom.

Record 17
Ba3Sr: optimized geometry, PBE.

Unit cell a=14.748 b=4.427 c=7.681 alpha=90.00 beta=100.18 gamma=90.00
Atoms (fractional coordinates):
Ba1 0.000 0.000 0.000
Ba2 0.249 0.000 0.748
Ba3 0.251 0.500 0.252
Ba4 0.500 0.500 0.000
Ba5 0.749 0.500 0.748
Ba6 0.751 0.000 0.252
Sr1 0.000 0.500 0.500
Sr2 0.500 0.000 0.500

Summary:
The value obtained for the energy above the lowest structure with this stoichiometry is 18 meV per atom.

Record 18
Ba2Sr: optimized geometry, PBE.

Unit cell a=8.189 b=8.189 c=12.986 alpha=90.00 beta=90.00 gamma=120.00
Atoms (fractional coordinates):
Ba1 0.000 0.000 0.000
Ba2 0.000 0.000 0.500
Ba3 0.171 0.343 0.250
Ba4 0.171 0.829 0.250
Ba5 0.343 0.171 0.750
Ba6 0.657 0.829 0.250
Ba7 0.829 0.171 0.750
Ba8 0.829 0.657 0.750
Sr1 0.333 0.667 0.565
Sr2 0.333 0.667 0.935
Sr3 0.667 0.333 0.065
Sr4 0.667 0.333 0.435

Summary:
The value obtained for the energy above the lowest structure with this stoichiometry is 123 meV per atom.

Record 19
BaSr3: optimized geometry, PBE.

Unit cell a=6.113 b=6.113 c=12.203 alpha=90.00 beta=90.00 gamma=90.00
Atoms (fractional coordinates):
Ba1 0.000 0.000 0.000
Ba2 0.500 0.500 0.500
Sr1 0.000 0.000 0.500
Sr2 0.000 0.500 0.250
Sr3 0.000 0.500 0.750
Sr4 0.500 0.000 0.250
Sr5 0.500 0.000 0.750
Sr6 0.500 0.500 0.000

Summary:
The value obtained for the energy above the lowest structure with this stoichiometry is 6 meV per atom.

Record 20
Ba3Sr: optimized geometry, PBE.

Unit cell a=6.239 b=6.239 c=25.428 alpha=90.00 beta=90.00 gamma=90.00
Atoms (fractional coordinates):
Ba1 0.000 0.000 0.125
Ba2 0.000 0.000 0.875
Ba3 0.000 0.500 0.000
Ba4 0.000 0.500 0.250
Ba5 0.000 0.500 0.500
Ba6 0.000 0.500 0.750
Ba7 0.500 0.000 0.000
Ba8 0.500 0.000 0.250
Ba9 0.500 0.000 0.500
Ba10 0.500 0.000 0.750
Ba11 0.500 0.500 0.375
Ba12 0.500 0.500 0.625
Sr1 0.000 0.000 0.375
Sr2 0.000 0.000 0.625
Sr3 0.500 0.500 0.125
Sr4 0.500 0.500 0.875

Summary:
The value obtained for the energy above the lowest structure with this stoichiometry is 18 meV per atom.

no.,ΔE_f (meV/atom),M_tot (μB per formula unit),V (Å³ per cell)
1,71,0.00,979.36
2,141,0.00,723.80
3,99,0.00,578.84
4,2,0.00,222.50
5,2,0.00,951.61
6,1,0.00,485.84
7,19,0.00,505.53
8,562,2.24,305.82
9,118,0.00,379.35
10,403,0.00,918.78
11,3,0.00,891.53
12,50,0.00,1047.38
13,11,0.00,226.62
14,1,0.00,179.07
15,11,0.00,538.21
16,15,0.00,491.39
17,18,0.00,493.64
18,124,0.00,754.10
19,7,0.00,455.94
20,18,0.00,989.65